The following is a PBE calculation of an optimized crystal structure of La2CeC2I2, from Alexandria.

Values from the calculation:
DFT total energy (eV/atom): -5.944
Uncorrected formation energy (eV/atom): -0.61
Total moment (Bohr magnetons per cell): 0.000

Cell lengths 9.563, 9.563, 9.563 Å; angles 151.86, 151.86, 40.22 degrees
Atoms (fractional coordinates):
La  0.089  0.089  0.000
La  0.911  0.911  0.000
Ce  0.500  0.500  0.000
C  0.000  0.500  0.500
C  0.500  0.000  0.500
I  0.318  0.318  0.000
I  0.682  0.682  0.000